Record 1
Material: LiMgZr
Method: DFT, PBE-GGA
State: relaxed

a b c (Å): 5.376 5.376 5.376
angles (deg): 149.04 126.85 62.79
Fractional coordinates of all 3 atoms:
Li 0.000 0.000 0.000
Mg 0.333 0.333 0.000
Zr 0.670 0.670 0.000

Results
Spin magnetization, μB/cell: 0.00
Space-group type: Imm2 (44)
E above lowest polymorph, kJ/mol of atoms: 23.30
Calculated density, g/cm3: 3.2
Total DFT energy (no corrections), eV/atom: -3.802

=====

Record 2
Material: Li2Mg2Zr
Method: DFT, PBE-GGA
State: relaxed

a b c (Å): 7.746 7.746 7.746
angles (deg): 151.58 151.58 40.62
Fractional coordinates of all 5 atoms:
Li 0.250 0.750 0.500
Li 0.750 0.250 0.500
Mg 0.103 0.103 0.000
Mg 0.897 0.897 0.000
Zr 0.500 0.500 0.000

Results
Spin magnetization, μB/cell: 0.00
Space-group type: I4/mmm (139)
E above lowest polymorph, kJ/mol of atoms: 11.09
Calculated density, g/cm3: 2.4
Total DFT energy (no corrections), eV/atom: -2.901

=====

Record 3
Material: LiMgZr
Method: DFT, PBE-GGA
State: relaxed

a b c (Å): 4.541 4.541 4.541
angles (deg): 60.00 60.00 60.00
Fractional coordinates of all 3 atoms:
Li 0.000 0.000 0.000
Mg 0.250 0.250 0.250
Zr 0.750 0.750 0.750

Results
Spin magnetization, μB/cell: 0.34
Space-group type: F-43m (216)
E above lowest polymorph, kJ/mol of atoms: 64.71
Calculated density, g/cm3: 3.1
Total DFT energy (no corrections), eV/atom: -3.373

=====

Record 4
Material: LiMgZr
Method: DFT, PBE-GGA
State: relaxed

a b c (Å): 3.030 3.030 8.137
angles (deg): 90.00 90.00 120.00
Fractional coordinates of all 3 atoms:
Li 0.000 0.000 0.000
Mg 0.667 0.333 0.325
Zr 0.333 0.667 0.660

Results
Spin magnetization, μB/cell: 0.00
Space-group type: P3m1 (156)
E above lowest polymorph, kJ/mol of atoms: 10.36
Calculated density, g/cm3: 3.1
Total DFT energy (no corrections), eV/atom: -3.936

=====

Record 5
Material: LiMgZr
Method: DFT, PBE-GGA
State: relaxed

a b c (Å): 8.454 8.237 2.965
angles (deg): 83.91 75.67 20.41
Fractional coordinates of all 3 atoms:
Li 0.000 0.000 0.000
Mg 0.338 0.338 0.662
Zr 0.669 0.669 0.331

Results
Spin magnetization, μB/cell: 0.00
Space-group type: Fmm2 (42)
E above lowest polymorph, kJ/mol of atoms: 12.91
Calculated density, g/cm3: 3.1
Total DFT energy (no corrections), eV/atom: -3.910

=====

Record 6
Material: Li2MgZr
Method: DFT, PBE-GGA
State: relaxed

a b c (Å): 5.265 5.265 5.819
angles (deg): 96.28 96.28 31.24
Fractional coordinates of all 4 atoms:
Li 0.000 0.000 0.000
Li 0.744 0.744 0.240
Mg 0.494 0.494 0.478
Zr 0.245 0.245 0.739

Results
Spin magnetization, μB/cell: 0.00
Space-group type: Cm (8)
Calculated density, g/cm3: 2.6
Total DFT energy (no corrections), eV/atom: -3.284

=====

Results for calculated volume: 21.116; 21.007; 22.066; 21.571; 21.583; 20.782 (in Å³ per atom, following the order of the records).